Entry from the Alexandria database: a geometry-optimized PrMo2F11 structure (PBE with a Hubbard U).

Output
- Total energy: -5.758 eV per atom
- Volume: 430.8 Å³ per cell
- Size of the total moment: 8.00 μB/cell

a b c (Å): 8.4225 8.4225 8.4225
angles (deg): 125.25 107.27 97.24
Fractional coordinates of all 28 atoms:
Pr 0.2500 0.2500 0.0000
Pr 0.7500 0.7500 0.0000
Mo 0.1800 0.6384 0.8184
Mo 0.3200 0.1384 0.4583
Mo 0.6800 0.8616 0.5417
Mo 0.8200 0.3617 0.1816
F 0.0000 0.5000 0.5000
F 0.0528 0.9585 0.2843
F 0.0566 0.3675 0.1674
F 0.1742 0.4585 0.9057
F 0.2001 0.8892 0.8326
F 0.2169 0.3666 0.5835
F 0.2831 0.8666 0.1497
F 0.2999 0.1325 0.6891
F 0.3258 0.2315 0.2843
F 0.4434 0.6108 0.3109
F 0.4472 0.7315 0.9057
F 0.5000 0.0000 0.5000
F 0.5528 0.2685 0.0943
F 0.5566 0.3892 0.6891
F 0.6742 0.7685 0.7157
F 0.7001 0.8675 0.3109
F 0.7169 0.1334 0.8503
F 0.7831 0.6334 0.4165
F 0.7999 0.1108 0.1674
F 0.8258 0.5415 0.0943
F 0.9434 0.6325 0.8326
F 0.9472 0.0415 0.7157